Here is a relaxed AcPmAs4 crystal from the Alexandria database. Energies are from PBE.

a b c (Å): 5.8598 5.8598 5.8598
angles (deg): 60.00 60.00 60.00
Closest atoms and distances in Å follow each position.
Element x y z (fractional)
Ac: 0.2500 0.2500 0.2500  12 As 3.44, 4 Pm 3.59
As: 0.6260 0.6260 0.1221  6 As 2.91-2.95
As: 0.6260 0.1221 0.6260  6 As 2.91-2.95
As: 0.6260 0.6260 0.6260  6 As 2.91-2.95
As: 0.1221 0.6260 0.6260  6 As 2.91-2.95
Pm: 0.0000 0.0000 0.0000  12 As 3.43, 4 Ac 3.59

DOS(E_F) (states/eV per atom): 0.611
Calculated formation energy (eV per formula unit): -2.80
Size of the total moment (μB per formula unit): 0.00
Energy (eV per atom): -5.042
Crystal system: cubic